(1)
NdTlB: relaxed, GGA-PBE.

Relative energy among the computed polymorphs ... 67.2 kJ per mole of atoms
E_tot ... -3.66 eV/atom
SG ... F-43m, No. 216

Lattice parameters (Å, degrees): 6.721 6.721 6.721 90.00 90.00 90.00
Fractional coordinates of all 12 atoms:
Nd 0.000 0.000 0.000
Nd 0.000 0.500 0.500
Nd 0.500 0.000 0.500
Nd 0.500 0.500 0.000
Tl 0.250 0.250 0.750
Tl 0.250 0.750 0.250
Tl 0.750 0.250 0.250
Tl 0.750 0.750 0.750
B 0.000 0.000 0.500
B 0.000 0.500 0.000
B 0.500 0.000 0.000
B 0.500 0.500 0.500

(2)
CuReBi2: relaxed, GGA-PBE.

E_tot ... -4.90 eV/atom
SG ... F-43m, No. 216

Lattice parameters (Å, degrees): 6.974 6.974 6.974 90.00 90.00 90.00
Fractional coordinates of all 16 atoms:
Cu 0.000 0.000 0.000
Cu 0.000 0.500 0.500
Cu 0.500 0.000 0.500
Cu 0.500 0.500 0.000
Re 0.250 0.250 0.750
Re 0.250 0.750 0.250
Re 0.750 0.250 0.250
Re 0.750 0.750 0.750
Bi 0.000 0.000 0.500
Bi 0.000 0.500 0.000
Bi 0.250 0.250 0.250
Bi 0.250 0.750 0.750
Bi 0.500 0.000 0.000
Bi 0.500 0.500 0.500
Bi 0.750 0.250 0.750
Bi 0.750 0.750 0.250

(3)
CsRbZrAg2Te4: relaxed, GGA-PBE.

E_tot ... -3.97 eV/atom
SG ... P2, No. 3

Lattice parameters (Å, degrees): 6.606 6.597 8.260 90.00 113.06 90.00
Fractional coordinates of all 9 atoms:
Cs 0.000 0.000 0.000
Rb 0.500 0.483 0.000
Zr 0.500 0.740 0.500
Ag 0.000 0.741 0.500
Ag 0.500 0.241 0.500
Te 0.152 0.500 0.286
Te 0.365 0.981 0.715
Te 0.635 0.981 0.285
Te 0.848 0.500 0.714

(4)
BaAl2SnAu: relaxed, GGA-PBE.

E_tot ... -3.87 eV/atom
SG ... I4mm, No. 107

Lattice parameters (Å, degrees): 4.638 4.638 11.559 90.00 90.00 90.00
Fractional coordinates of all 10 atoms:
Ba 0.000 0.000 0.000
Ba 0.500 0.500 0.500
Al 0.000 0.500 0.255
Al 0.000 0.500 0.755
Al 0.500 0.000 0.255
Al 0.500 0.000 0.755
Sn 0.000 0.000 0.604
Sn 0.500 0.500 0.104
Au 0.000 0.000 0.355
Au 0.500 0.500 0.855

(5)
Cu2F: relaxed, GGA-PBE.

E_tot ... -3.13 eV/atom
SG ... Fd-3m, No. 227

Lattice parameters (Å, degrees): 4.753 4.753 4.753 60.00 60.00 60.00
Fractional coordinates of all 6 atoms:
Cu 0.000 0.000 0.000
Cu 0.000 0.000 0.500
Cu 0.000 0.500 0.000
Cu 0.500 0.000 0.000
F 0.375 0.375 0.375
F 0.625 0.625 0.625

(6)
PuCo2Si2: relaxed, GGA-PBE.

E_tot ... -8.51 eV/atom
SG ... I4/mmm, No. 139

Lattice parameters (Å, degrees): 3.872 3.872 9.803 90.00 90.00 90.00
Fractional coordinates of all 10 atoms:
Pu 0.000 0.000 0.000
Pu 0.500 0.500 0.500
Co 0.000 0.500 0.250
Co 0.000 0.500 0.750
Co 0.500 0.000 0.250
Co 0.500 0.000 0.750
Si 0.000 0.000 0.373
Si 0.000 0.000 0.627
Si 0.500 0.500 0.127
Si 0.500 0.500 0.873

Copy entry 1 word for word.
NdTlB: relaxed, GGA-PBE.

Relative energy among the computed polymorphs ... 67.2 kJ per mole of atoms
E_tot ... -3.66 eV/atom
SG ... F-43m, No. 216

Lattice parameters (Å, degrees): 6.721 6.721 6.721 90.00 90.00 90.00
Fractional coordinates of all 12 atoms:
Nd 0.000 0.000 0.000
Nd 0.000 0.500 0.500
Nd 0.500 0.000 0.500
Nd 0.500 0.500 0.000
Tl 0.250 0.250 0.750
Tl 0.250 0.750 0.250
Tl 0.750 0.250 0.250
Tl 0.750 0.750 0.750
B 0.000 0.000 0.500
B 0.000 0.500 0.000
B 0.500 0.000 0.000
B 0.500 0.500 0.500